An optimized crystal structure of DyPaNiRu, computed with PBE-GGA.

Cell and atoms, written as POSCAR:
```
DyPaNiRu
1.0
0.0000 3.3995 3.3995
3.3995 0.0000 3.3995
3.3995 3.3995 0.0000
Dy Pa Ni Ru
1 1 1 1
Cartesian
0.0000 0.0000 0.0000 Dy
3.3995 3.3995 3.3995 Pa
5.0993 5.0993 5.0993 Ni
1.6998 1.6998 1.6998 Ru
```

Computed properties:
* distance to the lowest polymorph of the same formula: 201 meV/atom
* crystal system: cubic
* DOS at the Fermi energy: 6.308 states/eV/cell
* calculated total energy: -7.593 eV per atom
* E_form: -29.3 kJ per mole of atoms
* symmetry: F-43m, No. 216